1.
Density functional theory data (PBE with a Hubbard U) for a relaxed TmCrF5 crystal.

The structure belongs to space group P2_1/c (No. 14); the cell edges are 5.6684, 10.5092 and 8.4011 Å and the angles 90.00°, 105.63° and 90.00°. The inequivalent atoms are Tm at (0.0738, 0.2432, 0.3588), Cr at (0.4954, 0.5019, 0.7113), F at (0.1105, 0.2083, 0.6160), F at (0.2023, 0.6051, 0.2278), F at (0.2070, 0.6187, 0.6615), F at (0.3478, 0.1026, 0.3598) and F at (0.3513, 0.1083, 0.9395).

2.
Density functional theory data (PBE with a Hubbard U) for a relaxed MnSbOsO crystal.

The structure belongs to space group P3m1 (No. 156); the cell edges are 2.9924, 2.9924 and 8.2441 Å and the angles 90.00°, 90.00° and 120.00°. The inequivalent atoms are Mn at (0.0000, 0.0000, 0.0000), Sb at (0.3333, 0.6667, 0.5969), Os at (0.3333, 0.6667, 0.2574) and O at (0.3333, 0.6667, 0.8566).

no.,DFT total energy (eV/atom),total magnetization (μB per formula unit)
1,-6.5164,4.00
2,-6.9964,3.65